A geometry-optimized NaZn2CdNi structure. Source: the Alexandria database, functional PBE.

Computed properties:
The value obtained for the formation energy from the elements is 0.1 eV per formula unit. The calculated volume is 21.70 Å³ per atom. The calculation puts the total energy at -2.091 eV/atom.

```
NaZn2CdNi
1.0
-2.7371 2.3569 -2.9565
-3.6548 -2.5845 1.3232
-1.0337 3.2978 3.5860
Ni Zn Na Cd
1 2 1 1
Direct
0.0000 0.0000 0.0000 Ni
0.0000 0.5000 0.0000 Zn
0.5000 0.0000 0.0000 Zn
0.5000 0.5000 0.5000 Na
0.0000 0.0000 0.5000 Cd
```